VASP calculation (PBE-GGA) on an optimized crystal structure of CdPd3O4. Values from VASP.

Structure (Quantum ESPRESSO input):
```
&SYSTEM
  ibrav = 0, nat = 16, ntyp = 3
/
ATOMIC_SPECIES
Cd 112.41 Cd.upf
Pd 106.42 Pd.upf
O 16.00 O.upf
CELL_PARAMETERS angstrom
5.842 0.000 0.000
0.000 5.842 0.000
0.000 0.000 5.842
ATOMIC_POSITIONS crystal
Cd 0.000 0.000 0.000
Cd 0.500 0.500 0.500
Pd 0.000 0.250 0.500
Pd 0.000 0.750 0.500
Pd 0.250 0.500 0.000
Pd 0.500 0.000 0.250
Pd 0.500 0.000 0.750
Pd 0.750 0.500 0.000
O 0.250 0.250 0.250
O 0.250 0.250 0.750
O 0.250 0.750 0.250
O 0.250 0.750 0.750
O 0.750 0.250 0.250
O 0.750 0.250 0.750
O 0.750 0.750 0.250
O 0.750 0.750 0.750
```

Properties
Energy relative to the elements, uncorrected, eV/atom: -0.57
Space-group type: Pm-3n, No. 223
Final energy, eV per atom: -5.11

=====

VASP calculation (PBE-GGA) on an optimized crystal structure of K2BaFe. Values from VASP.

Structure (Quantum ESPRESSO input):
```
&SYSTEM
  ibrav = 0, nat = 4, ntyp = 3
/
ATOMIC_SPECIES
K 39.10 K.upf
Ba 137.33 Ba.upf
Fe 55.84 Fe.upf
CELL_PARAMETERS angstrom
5.144 0.000 0.000
0.000 5.158 0.000
0.000 0.000 6.735
ATOMIC_POSITIONS crystal
K 0.000 0.000 0.000
K 0.500 0.500 0.000
Ba 0.000 0.500 0.500
Fe 0.500 0.000 0.500
```

Properties
Space-group type: Pmmm, No. 47
Final energy, eV per atom: -2.39

=====

VASP calculation (PBE-GGA) on an optimized crystal structure of Rb2NbF6. Values from VASP.

Structure (Quantum ESPRESSO input):
```
&SYSTEM
  ibrav = 0, nat = 9, ntyp = 3
/
ATOMIC_SPECIES
Rb 85.47 Rb.upf
Nb 92.91 Nb.upf
F 19.00 F.upf
CELL_PARAMETERS angstrom
6.282 0.000 0.000
-3.141 5.441 0.000
0.000 0.000 4.745
ATOMIC_POSITIONS crystal
Rb 0.333 0.667 0.201
Rb 0.667 0.333 0.799
Nb 0.000 0.000 0.500
F 0.159 0.319 0.718
F 0.159 0.841 0.718
F 0.319 0.159 0.282
F 0.681 0.841 0.718
F 0.841 0.159 0.282
F 0.841 0.681 0.282
```

Properties
Energy relative to the elements, uncorrected, eV/atom: -2.96
Space-group type: P-3m1, No. 164
Final energy, eV per atom: -5.54

=====

VASP calculation (PBE-GGA) on an optimized crystal structure of CaPuAgTe3. Values from VASP.

Structure (Quantum ESPRESSO input):
```
&SYSTEM
  ibrav = 0, nat = 12, ntyp = 4
/
ATOMIC_SPECIES
Ca 40.08 Ca.upf
Pu 244.00 Pu.upf
Ag 107.87 Ag.upf
Te 127.60 Te.upf
CELL_PARAMETERS angstrom
8.538 0.000 0.000
0.000 4.367 0.000
-2.417 0.000 9.913
ATOMIC_POSITIONS crystal
Ca 0.206 0.250 0.275
Ca 0.794 0.750 0.725
Pu 0.322 0.750 0.835
Pu 0.678 0.250 0.165
Ag 0.085 0.250 0.584
Ag 0.915 0.750 0.416
Te 0.070 0.250 0.856
Te 0.276 0.750 0.521
Te 0.416 0.750 0.153
Te 0.584 0.250 0.847
Te 0.724 0.250 0.479
Te 0.930 0.750 0.144
```

Properties
Energy relative to the elements, uncorrected, eV/atom: -0.97
Space-group type: P2_1/m, No. 11
Final energy, eV per atom: -5.74

=====

VASP calculation (PBE-GGA) on an optimized crystal structure of TaIn2Ag. Values from VASP.

Structure (Quantum ESPRESSO input):
```
&SYSTEM
  ibrav = 0, nat = 4, ntyp = 3
/
ATOMIC_SPECIES
Ta 180.95 Ta.upf
In 114.82 In.upf
Ag 107.87 Ag.upf
CELL_PARAMETERS angstrom
-2.112 2.112 4.546
2.112 -2.112 4.546
2.112 2.112 -4.546
ATOMIC_POSITIONS crystal
Ta 0.000 0.000 0.000
In 0.250 0.750 0.500
In 0.750 0.250 0.500
Ag 0.500 0.500 0.000
```

Properties
Space-group type: I4/mmm, No. 139
Final energy, eV per atom: -4.62

=====

VASP calculation (PBE-GGA) on an optimized crystal structure of Hf2TaNbIn. Values from VASP.

Structure (Quantum ESPRESSO input):
```
&SYSTEM
  ibrav = 0, nat = 5, ntyp = 4
/
ATOMIC_SPECIES
Hf 178.49 Hf.upf
Ta 180.95 Ta.upf
Nb 92.91 Nb.upf
In 114.82 In.upf
CELL_PARAMETERS angstrom
5.109 0.000 0.000
0.000 5.109 0.000
0.000 0.000 4.839
ATOMIC_POSITIONS crystal
Hf 0.000 0.500 0.000
Hf 0.500 0.000 0.000
Ta 0.000 0.000 0.500
Nb 0.000 0.000 0.000
In 0.500 0.500 0.500
```

Properties
Space-group type: P4/mmm, No. 123
Final energy, eV per atom: -7.83

=====

VASP calculation (PBE-GGA) on an optimized crystal structure of LaNi2BOs. Values from VASP.

Structure (Quantum ESPRESSO input):
```
&SYSTEM
  ibrav = 0, nat = 5, ntyp = 4
/
ATOMIC_SPECIES
La 138.91 La.upf
Ni 58.69 Ni.upf
B 10.81 B.upf
Os 190.23 Os.upf
CELL_PARAMETERS angstrom
4.175 0.000 0.000
0.000 4.175 0.000
0.000 0.000 4.198
ATOMIC_POSITIONS crystal
La 0.000 0.000 0.000
Ni 0.000 0.500 0.500
Ni 0.500 0.000 0.500
B 0.500 0.500 0.500
Os 0.500 0.500 0.000
```

Properties
Space-group type: P4/mmm, No. 123
Final energy, eV per atom: -7.08

=====

VASP calculation (PBE-GGA) on an optimized crystal structure of MgIrF. Values from VASP.

Structure (Quantum ESPRESSO input):
```
&SYSTEM
  ibrav = 0, nat = 6, ntyp = 3
/
ATOMIC_SPECIES
Mg 24.30 Mg.upf
Ir 192.22 Ir.upf
F 19.00 F.upf
CELL_PARAMETERS angstrom
2.792 0.000 0.000
-0.001 4.510 0.000
-1.395 -0.378 6.897
ATOMIC_POSITIONS crystal
Mg 0.093 0.208 0.185
Mg 0.907 0.792 0.815
Ir 0.242 0.749 0.485
Ir 0.758 0.251 0.515
F 0.000 0.500 0.000
F 0.500 0.000 0.000
```

Properties
Energy relative to the elements, uncorrected, eV/atom: -1.60
Space-group type: P-1, No. 2
Final energy, eV per atom: -5.71